Entry 1:
This record from Alexandria describes a relaxed structure of Sc3AgO. The functional is PBE-GGA.

Cell lengths 6.276, 6.273, 8.746 Å; angles 45.84, 90.02, 59.06 degrees
Fractional positions:
1 Sc 0.979 0.580 0.360
2 Sc 0.983 0.575 0.864
3 Sc 0.481 0.580 0.911
4 Sc 0.082 0.975 0.413
5 Sc 0.880 0.180 0.811
6 Sc 0.481 0.575 0.313
7 Ag 0.481 0.078 0.362
8 Ag 0.481 0.078 0.862
9 O 0.981 0.078 0.112
10 O 0.981 0.078 0.612

N(E_F) ... 1.23 states/eV/f.u.
Calculated density ... 4992 kg/m3
Electronic total energy ... -67.28 eV per cell
Formation energy without anion corrections ... -1.367 eV/atom

=====

Entry 2:
This record from Alexandria describes a relaxed structure of LaRe2Sb. The functional is PBE-GGA.

Cell lengths 3.181, 3.181, 8.256 Å; angles 90.00, 90.00, 90.00 degrees
Fractional positions:
1 La 0.500 0.500 0.785
2 Re 0.000 0.000 0.049
3 Re 0.500 0.500 0.225
4 Sb 0.000 0.000 0.442

N(E_F) ... 1.91 states/eV/f.u.
Calculated density ... 12584 kg/m3
Electronic total energy ... -33.54 eV per cell
Formation energy without anion corrections ... 0.100 eV/atom

=====

Entry 3:
This record from Alexandria describes a relaxed structure of Pm5InCu4. The functional is PBE-GGA.

Cell lengths 3.580, 3.580, 18.591 Å; angles 90.00, 90.00, 90.00 degrees
Fractional positions:
1 Pm 0.500 0.500 0.117
2 Pm 0.500 0.500 0.308
3 Pm 0.500 0.500 0.500
4 Pm 0.500 0.500 0.692
5 Pm 0.500 0.500 0.883
6 In 0.000 0.000 0.000
7 Cu 0.000 0.000 0.214
8 Cu 0.000 0.000 0.404
9 Cu 0.000 0.000 0.596
10 Cu 0.000 0.000 0.786

N(E_F) ... 8.57 states/eV/f.u.
Calculated density ... 7625 kg/m3
E_form ... -0.22 eV/atom
Electronic total energy ... -45.11 eV per cell

=====

Entry 4:
This record from Alexandria describes a relaxed structure of LaPrN. The functional is PBE-GGA.

Cell lengths 4.483, 4.483, 4.483 Å; angles 60.00, 60.00, 60.00 degrees
Fractional positions:
1 Pr 0.500 0.500 0.500
2 N 0.250 0.250 0.250
3 La 0.000 0.000 0.000

N(E_F) ... 1.63 states/eV/f.u.
Calculated density ... 7657 kg/m3
Electronic total energy ... -19.14 eV per cell
Formation energy without anion corrections ... -0.368 eV/atom

=====

Entry 5:
This record from Alexandria describes a relaxed structure of K3Ag2Cl2F4. The functional is PBE-GGA.

Cell lengths 4.457, 4.457, 12.417 Å; angles 100.34, 100.34, 90.00 degrees
Fractional positions:
1 K 0.000 0.000 0.000
2 K 0.174 0.174 0.348
3 K 0.826 0.826 0.652
4 Ag 0.420 0.420 0.840
5 Ag 0.580 0.580 0.160
6 Cl 0.308 0.308 0.616
7 Cl 0.692 0.692 0.384
8 F 0.430 0.930 0.860
9 F 0.930 0.430 0.860
10 F 0.070 0.570 0.140
11 F 0.570 0.070 0.140

N(E_F) ... 2.40 states/eV/f.u.
Calculated density ... 3340 kg/m3
Electronic total energy ... -39.52 eV per cell
Formation energy without anion corrections ... -1.759 eV/atom

=====

Entry 6:
This record from Alexandria describes a relaxed structure of Sr4Co. The functional is PBE-GGA.

Cell lengths 5.986, 5.986, 5.986 Å; angles 90.00, 90.00, 90.00 degrees
Site moments in Bohr magnetons follow the coordinates.
Fractional positions:
1 Sr 0.000 0.000 0.000  -0.01
2 Sr 0.500 0.000 0.500  -0.03
3 Sr 0.000 0.500 0.500  -0.03
4 Sr 0.500 0.500 0.000  -0.03
5 Co 0.500 0.500 0.500  0.90

N(E_F) ... 7.80 states/eV/f.u.
Calculated density ... 3170 kg/m3
E_form ... 0.21 eV/atom
Electronic total energy ... -12.79 eV per cell